A relaxed BaDyInS4 crystal, computed with PBE-GGA.

POSCAR file:
```
BaDyInS4
1.0
6.867 0.000 0.072
0.000 6.962 0.000
-2.599 0.000 8.109
Ba Dy In S
2 2 2 8
Cartesian
2.742 5.222 7.736 Ba
1.526 1.741 0.445 Ba
4.287 5.222 3.703 Dy
-0.019 1.741 4.478 Dy
0.859 5.222 2.727 In
3.409 1.741 5.454 In
-1.782 3.542 5.785 S
6.050 0.061 2.396 S
6.050 3.420 2.396 S
-1.782 6.901 5.785 S
2.785 5.222 1.251 S
1.483 1.741 6.930 S
1.859 5.222 4.916 S
2.409 1.741 3.265 S
```

- formation energy without anion corrections (kJ/mol of formula units) = -1001
- magnetization (μB/cell) = 0.00
- electronic total energy (eV/atom) = -5.16
- ρ (g/cm3) = 4.635